VASP calculation (PBE) on a geometry-optimized YNi2Pb structure.

## Properties
Volume (A^3/atom): 19.13
Energy relative to the elements (kJ/mol of formula units): -99
ρ (g/cm³): 8.972
Spin magnetization (μB per cell): 0.00

```
data_YNi2Pb
_space_group_name_H-M_alt 'A m m 2'
_space_group_IT_number 38
_cell_length_a 4.0337
_cell_length_b 3.9795
_cell_length_c 9.5350
_cell_angle_alpha 90.00
_cell_angle_beta 90.00
_cell_angle_gamma 90.00
loop_
_space_group_symop_operation_xyz
'x,y,z'
'-x,-y,z'
'-x,y,z'
'x,-y,z'
'x,y+1/2,z+1/2'
'-x,-y+1/2,z+1/2'
'-x,y+1/2,z+1/2'
'x,-y+1/2,z+1/2'
loop_
_atom_site_label
_atom_site_fract_x
_atom_site_fract_y
_atom_site_fract_z
_atom_site_occupancy
Y1 0.0000 0.0000 0.0000 1
Ni1 0.0000 0.0000 0.7129 1
Ni2 0.5000 0.0000 0.5748 1
Pb1 0.5000 0.0000 0.2876 1
```

---

VASP calculation (PBE) on a geometry-optimized YNiPb3 structure.

## Properties
Polymorph energy (0 for the lowest one) (meV/atom): 0
Volume (A^3/atom): 27.70
Energy relative to the elements (kJ/mol of formula units): 35
ρ (g/cm³): 9.222
Spin magnetization (μB per cell): 0.00

```
data_YNiPb3
_space_group_name_H-M_alt 'P m -3 m'
_space_group_IT_number 221
_space_group_name_Hall '-P 4 2 3'
_cell_length_a 5.1739
_cell_length_b 5.1739
_cell_length_c 5.1739
_cell_angle_alpha 90.00
_cell_angle_beta 90.00
_cell_angle_gamma 90.00
loop_
_atom_site_label
_atom_site_fract_x
_atom_site_fract_y
_atom_site_fract_z
_atom_site_occupancy
Y1 0.0000 0.0000 0.0000 1
Ni1 0.5000 0.5000 0.5000 1
Pb1 0.0000 0.5000 0.5000 1
```

---

VASP calculation (PBE) on a geometry-optimized YNi2Pb structure.

## Properties
Volume (A^3/atom): 18.79
Energy relative to the elements (kJ/mol of formula units): 19
ρ (g/cm³): 9.134
Spin magnetization (μB per cell): 0.00

```
data_YNi2Pb
_space_group_name_H-M_alt 'F -4 3 m'
_space_group_IT_number 216
_space_group_name_Hall 'F -4 2 3'
_cell_length_a 6.6993
_cell_length_b 6.6993
_cell_length_c 6.6993
_cell_angle_alpha 90.00
_cell_angle_beta 90.00
_cell_angle_gamma 90.00
loop_
_atom_site_label
_atom_site_fract_x
_atom_site_fract_y
_atom_site_fract_z
_atom_site_occupancy
Y1 0.0000 0.0000 0.0000 1
Ni1 0.0000 0.0000 0.5000 1
Ni2 0.2500 0.2500 0.2500 1
Pb1 0.2500 0.2500 0.7500 1
```

---

VASP calculation (PBE) on a geometry-optimized Y2NiPb2 structure.

## Properties
Polymorph energy (0 for the lowest one) (meV/atom): 0
Volume (A^3/atom): 25.17
Energy relative to the elements (kJ/mol of formula units): -143
ρ (g/cm³): 8.590
Spin magnetization (μB per cell): 0.00

```
data_Y2NiPb2
_space_group_name_H-M_alt 'P 4/m b m'
_space_group_IT_number 127
_space_group_name_Hall '-P 4 2ab'
_cell_length_a 7.1862
_cell_length_b 7.1862
_cell_length_c 4.8731
_cell_angle_alpha 90.00
_cell_angle_beta 90.00
_cell_angle_gamma 90.00
loop_
_atom_site_label
_atom_site_fract_x
_atom_site_fract_y
_atom_site_fract_z
_atom_site_occupancy
Y1 0.1676 0.3324 0.0000 1
Ni1 0.0000 0.0000 0.5000 1
Pb1 0.1515 0.6515 0.5000 1
```

---

Number 1: D(E_F) 0.7300 states/eV per atom. Number 2: D(E_F) 0.7096 states/eV per atom. Number 3: D(E_F) 0.9495 states/eV per atom. Number 4: D(E_F) 0.4851 states/eV per atom.